First-principles (PBE with a Hubbard U) data for a geometry-optimized NaNdMn4O12 structure, as listed in Alexandria.

Geometry as CIF:
```
data_NaNdMn4O12
_symmetry_space_group_name_H-M 'P 4/m m m'
_symmetry_Int_Tables_number 123
_symmetry_space_group_name_Hall '-P 4 2'
_cell_length_a 5.3309
_cell_length_b 5.3309
_cell_length_c 7.6103
_cell_angle_alpha 90.00
_cell_angle_beta 90.00
_cell_angle_gamma 90.00
loop_
_atom_site_label
_atom_site_type_symbol
_atom_site_fract_x
_atom_site_fract_y
_atom_site_fract_z
Na1 Na 0.0000 0.0000 0.0000
Nd1 Nd 0.5000 0.5000 0.5000
Mn1 Mn 0.0000 0.5000 0.2431
O1 O 0.0000 0.5000 0.0000
O2 O 0.0000 0.5000 0.5000
O3 O 0.2588 0.2588 0.2638
```

- total moment (μB/cell) = 16.150
- uncorrected energy (eV/cell) = -116.91